Entry 1:
A geometry-optimized BaTlSe2 structure, computed with PBE-GGA.

Lattice parameters (Å, degrees): 5.428 5.428 5.428 113.52 113.50 101.67
Fractional positions:
1 Se 0.500 0.500 0.000
2 Ba 0.750 0.250 0.500
3 Se 0.000 0.000 0.000
4 Tl 0.250 0.750 0.500

Values from the calculation:
**Formation energy from raw total energies**: -1004 meV per atom
**Crystal system**: tetragonal
**M_tot**: 0.0 μB per cell
**Density of states at the Fermi level**: 0.9 states/eV/f.u.
**DFT total energy**: -15.27 eV for the cell shown

Entry 2:
A geometry-optimized Ba3TlSe structure, computed with PBE-GGA.

Lattice parameters (Å, degrees): 6.292 6.292 6.292 90.00 90.00 90.00
Site moments in Bohr magnetons follow the coordinates.
Fractional positions:
1 Se 0.000 0.000 0.000  -0.01
2 Tl 0.500 0.500 0.500  0.09
3 Ba 0.000 0.000 0.500  0.04
4 Ba 0.500 0.000 0.000  0.05
5 Ba 0.000 0.500 0.000  0.06

Values from the calculation:
**Formation energy from raw total energies**: -783 meV per atom
**Crystal system**: cubic
**Polymorph energy (0 for the lowest one)**: 0 meV/atom
**M_tot**: 1.0 μB per cell
**Density of states at the Fermi level**: 5.4 states/eV/f.u.
**DFT total energy**: -15.54 eV for the cell shown

Entry 3:
A geometry-optimized BaTlSe2 structure, computed with PBE-GGA.

Lattice parameters (Å, degrees): 4.022 5.445 5.445 90.00 90.00 90.00
Fractional positions:
1 Tl 0.500 0.500 0.500
2 Ba 0.500 0.000 0.000
3 Se 0.000 0.000 0.500
4 Se 0.000 0.500 0.000

Values from the calculation:
**Formation energy from raw total energies**: -988 meV per atom
**Crystal system**: tetragonal
**M_tot**: 0.0 μB per cell
**Density of states at the Fermi level**: 4.1 states/eV/f.u.
**DFT total energy**: -15.21 eV for the cell shown

Entry 4:
A geometry-optimized BaTlSe4 structure, computed with PBE-GGA.

Lattice parameters (Å, degrees): 6.120 6.120 6.120 60.00 60.00 60.00
Fractional positions:
1 Tl 0.750 0.750 0.750
2 Ba 0.000 0.000 0.000
3 Se 0.376 0.873 0.376
4 Se 0.376 0.376 0.873
5 Se 0.376 0.376 0.376
6 Se 0.873 0.376 0.376

Values from the calculation:
**Formation energy from raw total energies**: -421 meV per atom
**Crystal system**: cubic
**M_tot**: 0.0 μB per cell
**Density of states at the Fermi level**: 4.7 states/eV/f.u.
**DFT total energy**: -20.75 eV for the cell shown

Entry 5:
A geometry-optimized BaTlSe2 structure, computed with PBE-GGA.

Lattice parameters (Å, degrees): 5.561 5.561 5.561 60.00 60.00 60.00
Fractional positions:
1 Se 0.750 0.750 0.750
2 Ba 0.000 0.000 0.000
3 Se 0.250 0.250 0.250
4 Tl 0.500 0.500 0.500

Values from the calculation:
**Formation energy from raw total energies**: -960 meV per atom
**Crystal system**: cubic
**M_tot**: 0.0 μB per cell
**Density of states at the Fermi level**: 5.4 states/eV/f.u.
**DFT total energy**: -15.10 eV for the cell shown

Entry 6:
A geometry-optimized Ba3TlSe4 structure, computed with PBE-GGA.

Lattice parameters (Å, degrees): 6.564 9.566 11.037 90.00 90.00 90.00
Fractional positions:
1 Ba 0.564 0.850 0.000
2 Tl 0.539 0.825 0.500
3 Se 0.065 0.854 0.000
4 Se 0.066 0.327 0.246
5 Se 0.087 0.821 0.500
6 Ba 0.064 0.669 0.753
7 Tl 0.039 0.175 0.000
8 Ba 0.564 0.331 0.253
9 Ba 0.064 0.669 0.247
10 Ba 0.564 0.331 0.747
11 Se 0.566 0.673 0.746
12 Se 0.066 0.327 0.754
13 Ba 0.064 0.150 0.500
14 Se 0.587 0.179 0.000
15 Se 0.566 0.673 0.254
16 Se 0.565 0.146 0.500

Values from the calculation:
**Formation energy from raw total energies**: -1468 meV per atom
**Crystal system**: orthorhombic
**Polymorph energy (0 for the lowest one)**: 88 meV/atom
**M_tot**: 0.0 μB per cell
**Density of states at the Fermi level**: 4.3 states/eV/f.u.
**DFT total energy**: -67.63 eV for the cell shown

Entry 7:
A geometry-optimized BaTlSe2 structure, computed with PBE-GGA.

Lattice parameters (Å, degrees): 4.206 4.206 8.197 59.03 90.00 90.00
Fractional positions:
1 Se 0.000 0.481 0.519
2 Tl 0.500 0.250 0.250
3 Se 0.000 0.019 0.981
4 Ba 0.500 0.750 0.750

Values from the calculation:
**Formation energy from raw total energies**: -972 meV per atom
**Crystal system**: monoclinic
**M_tot**: 0.0 μB per cell
**Density of states at the Fermi level**: 2.1 states/eV/f.u.
**DFT total energy**: -15.14 eV for the cell shown

Entry 8:
A geometry-optimized BaTlSe2 structure, computed with PBE-GGA.

Lattice parameters (Å, degrees): 6.996 6.996 4.577 89.99 89.99 35.86
Fractional positions:
1 Tl 0.517 0.517 0.625
2 Ba 0.277 0.277 0.125
3 Se 0.983 0.983 0.125
4 Se 0.723 0.723 0.625

Values from the calculation:
**Formation energy from raw total energies**: -1089 meV per atom
**Crystal system**: orthorhombic
**M_tot**: 0.0 μB per cell
**Density of states at the Fermi level**: 1.5 states/eV/f.u.
**DFT total energy**: -15.62 eV for the cell shown

Entry 9:
A geometry-optimized BaTl2Se4 structure, computed with PBE-GGA.

Lattice parameters (Å, degrees): 6.965 6.765 6.765 74.64 59.02 59.02
Fractional positions:
1 Tl 0.500 0.500 0.500
2 Se 0.070 0.500 0.860
3 Se 0.430 0.500 0.140
4 Tl 0.000 0.500 0.500
5 Se 0.930 0.140 0.500
6 Ba 0.000 0.000 0.000
7 Se 0.570 0.860 0.500

Values from the calculation:
**Formation energy from raw total energies**: -715 meV per atom
**Crystal system**: tetragonal
**M_tot**: 0.0 μB per cell
**DFT total energy**: -25.60 eV for the cell shown

Entry 10:
A geometry-optimized BaTlSe2 structure, computed with PBE-GGA.

Lattice parameters (Å, degrees): 6.835 6.835 6.835 141.10 141.10 56.19
Fractional positions:
1 Ba 0.750 0.250 0.500
2 Tl 0.500 0.500 0.000
3 Se 0.000 0.000 0.000
4 Se 0.250 0.750 0.500

Values from the calculation:
**Formation energy from raw total energies**: -893 meV per atom
**Crystal system**: tetragonal
**M_tot**: 0.0 μB per cell
**Density of states at the Fermi level**: 3.6 states/eV/f.u.
**DFT total energy**: -14.83 eV for the cell shown

Entry 11:
A geometry-optimized BaTlSe2 structure, computed with PBE-GGA.

Lattice parameters (Å, degrees): 6.440 4.659 4.570 90.02 90.00 90.00
Fractional positions:
1 Se 0.500 0.375 0.375
2 Ba 0.500 0.871 0.874
3 Se 0.000 0.918 0.876
4 Tl 0.000 0.336 0.375

Values from the calculation:
**Formation energy from raw total energies**: -1088 meV per atom
**Crystal system**: orthorhombic
**M_tot**: 0.0 μB per cell
**Density of states at the Fermi level**: 2.4 states/eV/f.u.
**DFT total energy**: -15.61 eV for the cell shown

Entry 12:
A geometry-optimized BaTlSe2 structure, computed with PBE-GGA.

Lattice parameters (Å, degrees): 4.366 8.459 10.782 125.82 113.85 90.03
Fractional positions:
1 Ba 0.158 0.441 0.623
2 Se 0.828 0.820 0.794
3 Tl 0.588 0.452 0.057
4 Se 0.408 0.478 0.373
5 Ba 0.112 0.895 0.577
6 Se 0.786 0.269 0.752
7 Tl 0.178 0.053 0.143
8 Se 0.782 0.943 0.248

Values from the calculation:
**Formation energy from raw total energies**: -1112 meV per atom
**Crystal system**: triclinic
**M_tot**: 0.0 μB per cell
**DFT total energy**: -31.41 eV for the cell shown

Entry 13:
A geometry-optimized Ba2Tl2Se3 structure, computed with PBE-GGA.

Lattice parameters (Å, degrees): 4.758 6.588 9.950 123.60 103.83 90.00
Fractional positions:
1 Tl 0.096 0.061 0.192
2 Tl 0.904 0.939 0.808
3 Ba 0.646 0.611 0.293
4 Ba 0.354 0.389 0.707
5 Se 0.289 0.812 0.578
6 Se 0.711 0.188 0.422
7 Se 0.000 0.500 0.000

Values from the calculation:
**Formation energy from raw total energies**: -1261 meV per atom
**Crystal system**: monoclinic
**M_tot**: 0.0 μB per cell
**DFT total energy**: -27.86 eV for the cell shown